# 1
# GGA-PBE Ca3Tl2Hg3, optimized geometry
data_Ca3Tl2Hg3
_cell_length_a 4.799
_cell_length_b 12.203
_cell_length_c 15.640
_cell_angle_alpha 90.00
_cell_angle_beta 90.00
_cell_angle_gamma 90.00
_space_group_name_H-M_alt 'C m c m'
_space_group_IT_number 63
_space_group_name_Hall '-C 2c 2'
loop_
_atom_site_label
_atom_site_fract_x
_atom_site_fract_y
_atom_site_fract_z
Ca1 0.000 0.071 0.109
Ca2 0.000 0.345 0.250
Tl1 0.000 0.224 0.603
Hg1 0.000 0.395 0.750
Hg2 0.000 0.396 0.046
# ΔH_f (0 K)   -0.383 eV per atom
# Fermi-level density of states   19.34 states/eV/cell
# E   -58.8 eV/cell
# V   915.85 Å³ per cell

=====

# 2
# GGA-PBE ErCu2Ag, optimized geometry
data_ErCu2Ag
_cell_length_a 3.374
_cell_length_b 3.374
_cell_length_c 6.171
_cell_angle_alpha 90.00
_cell_angle_beta 90.00
_cell_angle_gamma 90.00
_space_group_name_H-M_alt 'P 4/m m m'
_space_group_IT_number 123
_space_group_name_Hall '-P 4 2'
loop_
_atom_site_label
_atom_site_fract_x
_atom_site_fract_y
_atom_site_fract_z
Er1 0.000 0.000 0.000
Cu1 0.500 0.500 0.283
Ag1 0.000 0.000 0.500
# ΔH_f (0 K)   -0.108 eV per atom
# Fermi-level density of states   1.33 states/eV/cell
# E   -16.0 eV/cell
# Excess energy over the best structure of this formula in the dataset   0.0469 eV/atom
# V   70.24 Å³ per cell

=====

# 3
# GGA-PBE TmFe3P3, optimized geometry
data_TmFe3P3
_cell_length_a 6.060
_cell_length_b 6.060
_cell_length_c 6.060
_cell_angle_alpha 90.00
_cell_angle_beta 90.00
_cell_angle_gamma 90.00
_space_group_name_H-M_alt 'P m -3 n'
_space_group_IT_number 223
_space_group_name_Hall '-P 4n 2 3'
loop_
_atom_site_label
_atom_site_fract_x
_atom_site_fract_y
_atom_site_fract_z
Tm1 0.000 0.000 0.000
Fe1 0.000 0.250 0.500
P1 0.000 0.500 0.250
# ΔH_f (0 K)   -0.342 eV per atom
# Fermi-level density of states   12.15 states/eV/cell
# E   -97.0 eV/cell
# V   222.60 Å³ per cell